Entry 1:
DFT (PBE-GGA) results for a geometry-optimized Ba3As structure.

Properties
Electronic total energy: -2.914 eV/atom
DFT formation energy: -0.309 eV per atom
Crystal system: tetragonal

a = 5.1787 Å, b = 5.1787 Å, c = 11.8965 Å
α = 90.00°, β = 90.00°, γ = 90.00°
Closest atoms and distances in Å follow each position.
Space group I4/mmm (No. 139)
Unique sites:
Ba  0.0000  0.0000  0.0000 (multiplicity 2)  4 As 3.66, 8 Ba 3.94
Ba  0.0000  0.5000  0.2500 (multiplicity 4)  8 Ba 3.66-3.94, 4 As 3.94
As  0.0000  0.0000  0.5000 (multiplicity 2)  12 Ba 3.66-3.94

***

Entry 2:
DFT (PBE-GGA) results for a geometry-optimized Ba3As structure.

Properties
Electronic total energy: -3.178 eV/atom
DFT formation energy: -0.573 eV per atom
Crystal system: monoclinic

a = 6.6528 Å, b = 4.6527 Å, c = 8.1990 Å
α = 90.00°, β = 113.80°, γ = 90.00°
Closest atoms and distances in Å follow each position.
Space group P2/m (No. 10)
Unique sites:
Ba  0.0000  0.0000  0.0000 (multiplicity 1)  2 As 3.33
Ba  0.3504  0.5000  0.7022 (multiplicity 2)  2 As 3.23
As  0.5000  0.0000  0.0000 (multiplicity 1)  6 Ba 3.23-3.33

***

Entry 3:
DFT (PBE-GGA) results for a geometry-optimized Ba3As structure.

Properties
Electronic total energy: -2.778 eV/atom
DFT formation energy: -0.173 eV per atom
Crystal system: trigonal

a = 11.5305 Å, b = 11.5305 Å, c = 4.2423 Å
α = 90.00°, β = 90.00°, γ = 120.00°
Closest atoms and distances in Å follow each position.
Space group R-3m (No. 166, hexagonal axes)
Unique sites:
Ba  0.0000  0.5000  0.0000 (multiplicity 9)  4 Ba 3.62, 2 As 3.62
As  0.0000  0.0000  0.0000 (multiplicity 3)  6 Ba 3.62

***

Entry 4:
DFT (PBE-GGA) results for a geometry-optimized Ba3As structure.

Properties
Electronic total energy: -3.168 eV/atom
DFT formation energy: -0.564 eV per atom
Crystal system: orthorhombic

a = 4.5203 Å, b = 7.8928 Å, c = 11.1681 Å
α = 90.00°, β = 90.00°, γ = 90.00°
Closest atoms and distances in Å follow each position.
Space group Pmmn (No. 59, origin choice 2)
Unique sites:
Ba  0.2500  0.0207  0.1733 (multiplicity 4)  2 As 3.36, 1 Ba 3.62
Ba  0.2500  0.2500  0.5367 (multiplicity 2)  2 As 3.26
As  0.2500  0.7500  0.6742 (multiplicity 2)  6 Ba 3.26-3.36

***

Entry 5:
DFT (PBE-GGA) results for a geometry-optimized Ba3As structure.

Properties
Electronic total energy: -2.954 eV/atom
DFT formation energy: -0.350 eV per atom
Crystal system: tetragonal

a = 5.2155 Å, b = 5.2155 Å, c = 26.7063 Å
α = 90.00°, β = 90.00°, γ = 90.00°
Closest atoms and distances in Å follow each position.
Space group I4/mmm (No. 139)
Unique sites:
Ba  0.0000  0.0000  0.1183 (multiplicity 4)  4 As 3.77, 4 Ba 4.10
Ba  0.0000  0.5000  0.0000 (multiplicity 4)  4 As 3.51, 4 Ba 3.69
Ba  0.0000  0.5000  0.2500 (multiplicity 4)  4 Ba 3.69
As  0.0000  0.0000  0.4119 (multiplicity 4)  8 Ba 3.51-3.77

***

Entry 6:
DFT (PBE-GGA) results for a geometry-optimized BaAs5 structure.

Properties
Electronic total energy: -4.363 eV/atom
DFT formation energy: -0.168 eV per atom
Crystal system: orthorhombic

a = 5.6136 Å, b = 13.7186 Å, c = 3.8408 Å
α = 90.00°, β = 90.00°, γ = 90.00°
Closest atoms and distances in Å follow each position.
Space group Cmmm (No. 65)
Unique sites:
Ba  0.0000  0.0000  0.0000 (multiplicity 2)  12 As 3.40-3.70
As  0.0000  0.2309  0.5000 (multiplicity 4)  4 As 2.58-2.86
As  0.0000  0.3567  0.0000 (multiplicity 4)  4 As 2.58-2.75
As  0.0000  0.5000  0.5000 (multiplicity 2)  4 As 2.75